Here is a relaxed Sn4TeSe4 crystal from the Alexandria database. Energies are from PBE.

Cell: 7.3365 7.3365 7.3365 Å, 99.31 99.31 132.58°
Closest atoms and distances in Å follow each position.
Positions (direct):
1 Sn 0.0943 0.3051 0.3994  5 Se 2.83-3.08, 1 Te 3.03
2 Sn 0.3051 0.9057 0.2108  5 Se 2.83-3.08, 1 Te 3.03
3 Sn 0.6949 0.0943 0.7892  5 Se 2.83-3.08, 1 Te 3.03
4 Sn 0.9057 0.6949 0.6006  5 Se 2.83-3.08, 1 Te 3.03
5 Te 0.0000 0.0000 0.0000  4 Sn 3.03
6 Se 0.1885 0.6028 0.7912  5 Sn 2.83-3.08
7 Se 0.3972 0.1885 0.5857  5 Sn 2.83-3.08
8 Se 0.6028 0.8115 0.4143  5 Sn 2.83-3.08
9 Se 0.8115 0.3972 0.2088  5 Sn 2.83-3.08

## Properties
- E_form (uncorrected): -0.34 eV/atom
- Uncorrected energy: -36.1 eV per formula unit

***

Here is a relaxed SnTe3Se crystal from the Alexandria database. Energies are from PBE.

Cell: 5.6919 5.6919 5.6919 Å, 90.00 90.00 90.00°
Closest atoms and distances in Å follow each position.
Positions (direct):
1 Sn 0.0000 0.0000 0.0000  6 Te 2.85
2 Te 0.0000 0.0000 0.5000  2 Sn 2.85
3 Te 0.0000 0.5000 0.0000  2 Sn 2.85
4 Te 0.5000 0.0000 0.0000  2 Sn 2.85
5 Se 0.5000 0.5000 0.5000  12 Te 4.02

## Properties
- E_form (uncorrected): 0.74 eV/atom
- Uncorrected energy: -13.2 eV per formula unit

***

Here is a relaxed Sn4TeSe3 crystal from the Alexandria database. Energies are from PBE.

Cell: 4.3339 7.5175 7.6458 Å, 70.68 89.95 89.98°
Closest atoms and distances in Å follow each position.
Positions (direct):
1 Sn 0.0000 0.0000 0.0000  3 Se 2.89-3.07, 2 Te 3.11
2 Sn 0.0000 0.4789 0.5225  3 Se 2.89-2.97, 2 Te 3.20-3.21
3 Sn 0.5013 0.4649 0.0099  5 Se 2.92-3.25, 1 Te 3.09
4 Sn 0.5013 0.9754 0.5204  5 Se 2.93-3.26, 1 Te 3.23
5 Te 0.4993 0.7331 0.2411  6 Sn 3.09-3.23
6 Se 0.4993 0.2337 0.7398  6 Sn 2.96-3.11
7 Se 0.9990 0.2360 0.2308  3 Sn 2.89-2.94
8 Se 0.9990 0.7364 0.7320  4 Sn 2.89-3.23

## Properties
- E_form (uncorrected): -0.39 eV/atom
- Uncorrected energy: -32.7 eV per formula unit

***

Here is a relaxed Sn2TeSe crystal from the Alexandria database. Energies are from PBE.

Cell: 7.6121 7.6121 7.6121 Å, 33.62 33.62 33.62°
Closest atoms and distances in Å follow each position.
Positions (direct):
1 Sn 0.2445 0.2445 0.2445  3 Se 3.04, 3 Te 3.18
2 Sn 0.7555 0.7555 0.7555  3 Se 3.04, 3 Te 3.18
3 Te 0.0000 0.0000 0.0000  6 Sn 3.18
4 Se 0.5000 0.5000 0.5000  6 Sn 3.04

## Properties
- E_form (uncorrected): -0.36 eV/atom
- Uncorrected energy: -16.1 eV per formula unit

***

Here is a relaxed Sn2TeSe6 crystal from the Alexandria database. Energies are from PBE.

Cell: 9.0827 9.0827 8.2459 Å, 107.13 107.13 24.87°
Closest atoms and distances in Å follow each position.
Positions (direct):
1 Sn 0.1674 0.1674 0.3349  6 Se 2.74-2.76
2 Sn 0.8326 0.8326 0.6651  6 Se 2.74-2.76
3 Te 0.5000 0.5000 0.0000  6 Se 2.83
4 Se 0.0053 0.0053 0.2507  1 Sn 2.75, 2 Te 2.83
5 Se 0.3293 0.3293 0.4276  3 Sn 2.74-2.76
6 Se 0.3328 0.3328 0.9002  2 Sn 2.75, 1 Te 2.83
7 Se 0.6672 0.6672 0.0998  2 Sn 2.75, 1 Te 2.83
8 Se 0.6707 0.6707 0.5724  3 Sn 2.74-2.76
9 Se 0.9947 0.9947 0.7493  1 Sn 2.75, 2 Te 2.83

## Properties
- E_form (uncorrected): -0.24 eV/atom
- Uncorrected energy: -34.2 eV per formula unit

***

Here is a relaxed Sn2TeSe2 crystal from the Alexandria database. Energies are from PBE.

Cell: 8.2516 8.2516 4.0786 Å, 90.00 90.00 90.00°
Closest atoms and distances in Å follow each position.
Positions (direct):
1 Sn 0.1676 0.3324 0.0000  2 Se 2.87
2 Sn 0.3324 0.8324 0.0000  2 Se 2.87
3 Sn 0.6676 0.1676 0.0000  2 Se 2.87
4 Sn 0.8324 0.6676 0.0000  2 Se 2.87
5 Te 0.0000 0.0000 0.5000  4 Se 3.11
6 Te 0.5000 0.5000 0.5000  4 Se 3.11
7 Se 0.1587 0.6587 0.5000  2 Sn 2.87, 2 Te 3.11
8 Se 0.3413 0.1587 0.5000  2 Sn 2.87, 2 Te 3.11
9 Se 0.6587 0.8413 0.5000  2 Sn 2.87, 2 Te 3.11
10 Se 0.8413 0.3413 0.5000  2 Sn 2.87, 2 Te 3.11

## Properties
- E_form (uncorrected): -0.06 eV/atom
- Uncorrected energy: -18.4 eV per formula unit

***

Here is a relaxed Sn3Te2Se crystal from the Alexandria database. Energies are from PBE.

Cell: 7.7001 7.7001 7.7001 Å, 146.48 131.64 60.12°
Closest atoms and distances in Å follow each position.
Positions (direct):
1 Sn 0.0000 0.0000 0.0000  2 Se 3.15, 4 Te 3.18
2 Sn 0.3440 0.3440 0.0000  2 Se 3.04, 4 Te 3.16-3.20
3 Sn 0.6560 0.6560 0.0000  2 Se 3.04, 4 Te 3.16-3.20
4 Te 0.1709 0.6709 0.5000  6 Sn 3.16-3.20
5 Te 0.8291 0.3291 0.5000  6 Sn 3.16-3.20
6 Se 0.5000 0.0000 0.5000  6 Sn 3.04-3.15

## Properties
- E_form (uncorrected): -0.32 eV/atom
- Uncorrected energy: -23.7 eV per formula unit

***

Here is a relaxed Sn2TeSe4 crystal from the Alexandria database. Energies are from PBE.

Cell: 6.5187 6.5187 6.5187 Å, 108.95 108.95 110.52°
Closest atoms and distances in Å follow each position.
Positions (direct):
1 Sn 0.2500 0.7500 0.5000  4 Se 2.80
2 Sn 0.7500 0.2500 0.5000  4 Se 2.80
3 Te 0.0000 0.0000 0.0000  4 Se 2.82
4 Se 0.2020 0.3122 0.5142  2 Sn 2.80, 1 Te 2.82
5 Se 0.3122 0.7980 0.1103  2 Sn 2.80, 1 Te 2.82
6 Se 0.6878 0.2020 0.8897  2 Sn 2.80, 1 Te 2.82
7 Se 0.7980 0.6878 0.4858  2 Sn 2.80, 1 Te 2.82

## Properties
- E_form (uncorrected): -0.15 eV/atom
- Uncorrected energy: -26.2 eV per formula unit